DFT (PBE) results for crystalline NaBe2W at its relaxed geometry.

Formation energy from the elements in eV per atom: 1.24
ΔE to the lowest computed polymorph in eV per atom: 0.2412

Cell: 5.361 5.361 5.361 Å, 105.99 105.99 116.69°
Positions (direct):
Na 0.000 0.000 0.000
Na 0.750 0.250 0.500
Be 0.137 0.625 0.012
Be 0.375 0.387 0.512
Be 0.613 0.125 0.988
Be 0.875 0.863 0.488
W 0.250 0.750 0.500
W 0.500 0.500 0.000


DFT (PBE) results for crystalline PuUAl6 at its relaxed geometry.

Formation energy from the elements in eV per atom: -0.19

Cell: 4.640 6.108 6.108 Å, 62.73 90.00 90.00°
Positions (direct):
Pu 0.000 0.000 0.000
U 0.500 0.692 0.692
Al 0.000 0.048 0.482
Al 0.000 0.482 0.048
Al 0.000 0.506 0.506
Al 0.500 0.187 0.187
Al 0.500 0.210 0.645
Al 0.500 0.645 0.210